BaNi2 PBE relaxed; space-group type = Fm-3m, No. 225; total magnetization = 0.00 μB per atom; DFT total energy = -3.378 eV per atom
1.0
0.000 3.316 3.316
3.316 0.000 3.316
3.316 3.316 0.000
Ba Ni
1 2
direct
0.000 0.000 0.000
0.250 0.250 0.250
0.750 0.750 0.750